# NbNiP2

A crystal of NbNiP2 relaxed with PBEsol (SCAN, the Alexandria database).

Cell lengths 3.3354, 5.3454, 12.0699 Å; angles 90.00, 90.00, 90.00 degrees
Fractional coordinates of all 16 atoms:
Nb: 0.2500 0.0179 0.1708
Nb: 0.7500 0.9821 0.8292
Nb: 0.2500 0.5179 0.3292
Nb: 0.7500 0.4821 0.6708
Ni: 0.7500 0.4794 0.9158
Ni: 0.7500 0.9794 0.5842
Ni: 0.2500 0.5206 0.0842
Ni: 0.2500 0.0206 0.4158
P: 0.7500 0.3096 0.4637
P: 0.2500 0.6904 0.5363
P: 0.7500 0.8096 0.0363
P: 0.2500 0.1904 0.9637
P: 0.7500 0.3676 0.1890
P: 0.2500 0.1324 0.6890
P: 0.7500 0.8676 0.3110
P: 0.2500 0.6324 0.8110

Calculated values
N(E_F)	1.318	states/eV/f.u.
theoretical density	6.59	g/cm3
formation enthalpy at 0 K	-3.071	eV/f.u.



# TcPO2F

A crystal of TcPO2F relaxed with PBEsol (SCAN, the Alexandria database).

Cell lengths 3.8010, 3.8010, 4.1444 Å; angles 90.00, 90.00, 90.00 degrees
Fractional coordinates of all 5 atoms:
P: 0.5000 0.5000 0.5000
Tc: 0.0000 0.0000 0.0000
O: 0.0000 0.5000 0.0000
O: 0.5000 0.0000 0.0000
F: 0.0000 0.0000 0.5000

Calculated values
N(E_F)	2.518	states/eV/f.u.
ΔE_f (raw)	-527	meV/atom
theoretical density	4.99	g/cm3



# Sb4O5F2

A crystal of Sb4O5F2 relaxed with PBEsol (SCAN, the Alexandria database).

Cell lengths 5.3648, 10.7560, 13.7479 Å; angles 102.39, 90.00, 90.00 degrees
Fractional coordinates of all 44 atoms:
Sb: 0.7823 0.6141 0.9605
Sb: 0.7797 0.2514 0.9044
Sb: 0.1924 0.8128 0.8348
Sb: 0.2812 0.4252 0.7735
Sb: 0.3681 0.0709 0.7023
Sb: 0.6920 0.6632 0.6791
Sb: 0.7941 0.3083 0.6300
Sb: 0.8868 0.9212 0.5672
Sb: 0.3868 0.0788 0.4328
Sb: 0.2941 0.6917 0.3700
Sb: 0.1920 0.3368 0.3209
Sb: 0.8681 0.9291 0.2977
Sb: 0.7812 0.5748 0.2265
Sb: 0.6924 0.1872 0.1652
Sb: 0.2797 0.7486 0.0956
Sb: 0.2823 0.3859 0.0395
O: 0.1318 0.7326 0.9524
O: 0.4529 0.3566 0.9023
O: 0.9593 0.4168 0.9571
O: 0.5118 0.7217 0.8051
O: 0.0124 0.6703 0.7496
O: 0.4619 0.2634 0.6990
O: 0.9649 0.3080 0.7590
O: 0.6382 0.4813 0.6884
O: 0.5786 0.0368 0.5781
O: 0.0757 0.0820 0.6153
O: 0.5757 0.9180 0.3847
O: 0.0786 0.9632 0.4219
O: 0.1382 0.5187 0.3116
O: 0.4649 0.6920 0.2410
O: 0.9619 0.7366 0.3010
O: 0.5124 0.3297 0.2504
O: 0.0118 0.2783 0.1949
O: 0.4593 0.5832 0.0429
O: 0.9529 0.6434 0.0977
O: 0.6318 0.2674 0.0476
F: 0.1356 0.1990 0.9799
F: 0.7863 0.9255 0.7151
F: 0.2666 0.8666 0.6496
F: 0.1352 0.4211 0.6220
F: 0.6352 0.5789 0.3780
F: 0.7666 0.1334 0.3504
F: 0.2863 0.0745 0.2849
F: 0.6356 0.8010 0.0201

Calculated values
N(E_F)	0.000	states/eV/f.u.
ΔE_f (raw)	-1618	meV/atom
theoretical density	5.19	g/cm3